VASP calculation (meta-GGA SCAN) on a PBEsol-optimized structure of Sr2AlO.

extended XYZ file:
```
8
Lattice="-3.6200 3.6200 4.3946 3.6200 -3.6200 4.3946 3.6200 3.6200 -4.3946" Properties=species:S:1:pos:R:3 pbc="T T T"
Sr 1.8100 1.0272 -1.0986
Sr 2.5927 -1.8100 5.4932
Sr 1.8100 2.5927 3.2959
Sr 1.0272 5.4299 1.0986
Al 3.6200 0.0000 2.1973
Al 0.0000 0.0000 4.3946
O 0.0000 0.0000 0.0000
O 0.0000 3.6200 2.1973
```

Results
Theoretical density   3.1 g/cm³
Density of states at the Fermi level   3.58 states/eV/cell
Raw formation energy   -121.2 kJ per mole of atoms
Raw total energy   -15.8900 eV/atom